## VNiF3 (PBE with a Hubbard U)

Data for VNiF3 after structural relaxation.

Cell and atoms, written as POSCAR:
```
VNiF3
1.0
-2.971 1.367 2.456
0.365 -3.356 2.310
2.787 1.897 2.316
Ni V F
1 1 3
Cartesian
0.090 -0.046 3.541
0.000 0.000 0.000
0.182 -1.678 1.155
1.394 0.948 1.158
-1.485 0.684 1.228
```

offset from the most stable computed form: 0 meV per atom
total moment: 0.76 μB per atom
N(E_F): 12.95 states/eV/f.u.
space group: Pm-3m (221)
V: 68 Å³/cell
electronic total energy: -4.53 eV per atom